Entry 1:
RbCeMgF6 | PBE-GGA | optimized geometry

Values from the calculation:
Total energy in eV per atom: -5.7395
Formation energy without anion corrections in eV per atom: -3.548
Crystal system: orthorhombic

POSCAR file:
```
RbCeMgF6
1.0
-3.709 3.992 5.161
3.709 -3.992 5.161
3.709 3.992 -5.161
Rb Ce Mg F
2 2 2 12
Cartesian
0.000 1.996 0.865
3.709 1.996 4.296
3.709 0.000 0.000
0.000 0.000 5.161
1.854 1.996 -2.580
1.854 -1.996 2.580
1.717 -0.552 1.189
5.700 -0.552 1.189
3.709 1.996 -1.885
1.717 3.441 -1.189
1.992 -0.552 3.972
3.709 1.996 1.224
0.000 1.996 3.936
1.717 4.544 1.189
1.992 0.552 6.349
0.000 1.996 7.045
-1.992 4.544 3.972
1.992 4.544 3.972
```

Entry 2:
Sc2TlPd | PBE-GGA | optimized geometry

Values from the calculation:
Total energy in eV per atom: -4.9400
Crystal system: orthorhombic
Energy of formation in kJ per mole of atoms: 11.1

POSCAR file:
```
Sc2TlPd
1.0
-1.565 2.540 5.903
1.565 -2.540 5.903
1.565 2.540 -5.903
Sc Tl Pd
2 1 1
Cartesian
0.000 0.000 2.556
0.000 0.000 9.250
0.000 0.000 5.903
0.000 0.000 0.000
```

Entry 3:
Ga2SnSbMo | PBE-GGA | optimized geometry

Values from the calculation:
Total energy in eV per atom: -4.6115
Formation energy without anion corrections in eV per atom: 0.391
Crystal system: tetragonal

POSCAR file:
```
Ga2SnSbMo
1.0
4.984 0.000 0.000
0.000 4.984 0.000
0.000 0.000 5.233
Ga Sn Sb Mo
2 1 1 1
Cartesian
0.000 2.492 0.000
2.492 0.000 0.000
0.000 0.000 2.616
2.492 2.492 2.616
2.492 2.492 0.000
```

Entry 4:
PuMgCoOs | PBE-GGA | optimized geometry

Values from the calculation:
Total energy in eV per atom: -8.5266
Crystal system: cubic
Energy of formation in kJ per mole of atoms: 3.8

POSCAR file:
```
PuMgCoOs
1.0
0.000 3.225 3.225
3.225 0.000 3.225
3.225 3.225 0.000
Pu Mg Co Os
1 1 1 1
Cartesian
0.000 0.000 0.000
3.225 3.225 3.225
4.837 4.837 4.837
1.612 1.612 1.612
```

Entry 5:
BaV2AsN | PBE-GGA | optimized geometry

Values from the calculation:
Total energy in eV per atom: -5.6184
Formation energy without anion corrections in eV per atom: 1.009
Crystal system: tetragonal

POSCAR file:
```
BaV2AsN
1.0
4.800 0.000 0.000
0.000 4.800 0.000
0.000 0.000 4.944
Ba V As N
1 2 1 1
Cartesian
0.000 0.000 0.000
0.000 2.400 2.472
2.400 0.000 2.472
2.400 2.400 2.472
2.400 2.400 0.000
```

Entry 6:
TbTl2Hg | PBE-GGA | optimized geometry

Values from the calculation:
Polymorph energy (0 for the lowest one) in meV per atom: 0
Total energy in eV per atom: -2.6810
Crystal system: tetragonal
Energy of formation in kJ per mole of atoms: -25.6

POSCAR file:
```
TbTl2Hg
1.0
4.733 0.000 0.000
0.000 4.733 0.000
0.000 0.000 4.672
Tb Tl Hg
1 2 1
Cartesian
0.000 0.000 0.000
0.000 2.366 2.336
2.366 0.000 2.336
2.366 2.366 0.000
```

Entry 7:
MnZn2Os | PBE-GGA | optimized geometry

Values from the calculation:
Polymorph energy (0 for the lowest one) in meV per atom: 92
Total energy in eV per atom: -5.6119
Crystal system: orthorhombic
Energy of formation in kJ per mole of atoms: 12.1

POSCAR file:
```
MnZn2Os
1.0
2.761 0.000 0.000
0.000 3.448 0.000
0.000 0.000 5.637
Mn Zn Os
1 2 1
Cartesian
0.000 0.000 0.000
0.000 0.000 2.737
1.381 1.724 4.117
1.381 1.724 1.140
```

Entry 8:
LaPmTlTe | PBE-GGA | optimized geometry

Values from the calculation:
Total energy in eV per atom: -4.7110
Formation energy without anion corrections in eV per atom: -0.915
Crystal system: trigonal

POSCAR file:
```
LaPmTlTe
1.0
2.186 1.262 8.068
-2.186 1.262 8.068
0.000 -2.524 8.068
La Pm Tl Te
1 1 1 1
Cartesian
0.000 0.000 0.000
0.000 0.000 12.199
0.000 0.000 18.249
0.000 0.000 6.036
```

Entry 9:
Hf4CS5 | PBE-GGA | optimized geometry

Values from the calculation:
Total energy in eV per atom: -8.4132
Formation energy without anion corrections in eV per atom: -1.446
Crystal system: monoclinic

POSCAR file:
```
Hf4CS5
1.0
7.767 -1.752 0.000
7.767 1.752 0.000
-1.532 0.000 6.953
Hf C S
4 1 5
Cartesian
-0.410 0.000 1.901
4.754 0.000 2.935
9.248 0.000 4.018
14.412 0.000 5.052
7.001 0.000 3.477
1.274 0.000 5.791
2.140 0.000 2.263
7.767 0.000 0.000
11.862 0.000 4.691
12.728 0.000 1.163
```

Entry 10:
CaTaNbO6 | PBE-GGA | optimized geometry

Values from the calculation:
Total energy in eV per atom: -8.8286
Formation energy without anion corrections in eV per atom: -2.865
Crystal system: trigonal

POSCAR file:
```
CaTaNbO6
1.0
5.330 0.000 0.000
-2.665 4.616 0.000
0.000 0.000 10.081
Ca Ta Nb O
2 2 2 12
Cartesian
0.000 0.000 0.000
0.000 0.000 5.041
0.000 3.077 2.520
2.665 1.539 7.561
0.000 3.077 7.561
2.665 1.539 2.520
-0.974 1.707 1.429
-1.674 2.919 3.612
0.974 1.707 3.612
-0.700 4.606 1.429
1.965 0.010 6.469
0.991 1.697 8.653
1.674 2.919 1.429
0.700 4.606 3.612
3.365 0.010 8.653
1.691 2.909 6.469
4.339 1.697 6.469
3.639 2.909 8.653
```

Entry 11:
Na2CaTcMo | PBE-GGA | optimized geometry

Values from the calculation:
Total energy in eV per atom: -3.3238
Crystal system: tetragonal
Energy of formation in kJ per mole of atoms: 177.9

POSCAR file:
```
Na2CaTcMo
1.0
5.487 0.000 0.000
0.000 5.487 0.000
0.000 0.000 5.096
Na Ca Tc Mo
2 1 1 1
Cartesian
0.000 2.743 0.000
2.743 0.000 0.000
0.000 0.000 2.548
0.000 0.000 0.000
2.743 2.743 2.548
```

Entry 12:
Na3BeHg | PBE-GGA | optimized geometry

Values from the calculation:
Polymorph energy (0 for the lowest one) in meV per atom: 0
Total energy in eV per atom: -1.1378
Crystal system: cubic
Energy of formation in kJ per mole of atoms: 44.3

POSCAR file:
```
Na3BeHg
1.0
5.434 0.000 0.000
0.000 5.434 0.000
0.000 0.000 5.434
Na Be Hg
3 1 1
Cartesian
0.000 0.000 2.717
0.000 2.717 0.000
2.717 0.000 0.000
0.000 0.000 0.000
2.717 2.717 2.717
```

Entry 13:
B2IF6 | PBE-GGA | optimized geometry

Values from the calculation:
Total energy in eV per atom: -5.2254
Formation energy without anion corrections in eV per atom: -2.322
Crystal system: trigonal

POSCAR file:
```
B2IF6
1.0
2.649 1.529 9.167
-2.649 1.529 9.167
0.000 -3.059 9.167
B I F
2 1 6
Cartesian
0.000 0.000 0.000
0.000 0.000 6.303
0.000 0.000 21.645
-1.493 -0.878 18.336
-1.502 0.863 15.471
0.004 -1.732 15.471
-0.014 1.732 18.336
1.507 -0.854 18.336
1.498 0.869 15.471
```